No. 1
VASP calculation (PBE) on NdTm2ScIn4 after structural relaxation.

Cell lengths 9.167, 9.167, 9.167 Å; angles 33.32, 33.32, 33.32 degrees
Atoms (fractional coordinates):
Nd 0.000 0.000 0.000
Tm 0.249 0.249 0.249
Tm 0.751 0.751 0.751
Sc 0.500 0.500 0.500
In 0.128 0.128 0.128
In 0.379 0.379 0.379
In 0.621 0.621 0.621
In 0.872 0.872 0.872

SG ... R-3m
Total moment ... 0.0 μB per cell
Crystal system ... trigonal
ΔE_f ... -0.4201 eV/atom

---

No. 2
VASP calculation (PBE) on Nd2YScIn2 after structural relaxation.

Cell lengths 5.323, 9.379, 6.825 Å; angles 90.00, 90.00, 90.00 degrees
Atoms (fractional coordinates):
Nd 0.000 0.005 0.000
Nd 0.000 0.995 0.500
Nd 0.500 0.163 0.256
Nd 0.500 0.837 0.756
Y 0.500 0.495 0.998
Y 0.500 0.505 0.498
Sc 0.000 0.331 0.743
Sc 0.000 0.669 0.243
In 0.000 0.353 0.249
In 0.000 0.647 0.749
In 0.500 0.184 0.751
In 0.500 0.816 0.251

SG ... Pmc2_1
Total moment ... 1.3 μB per cell
Crystal system ... orthorhombic
ΔE_f ... -0.3488 eV/atom

---

No. 3
VASP calculation (PBE) on NdY2ScIn4 after structural relaxation.

Cell lengths 9.216, 9.216, 9.216 Å; angles 33.35, 33.35, 33.35 degrees
Atoms (fractional coordinates):
Nd 0.000 0.000 0.000
Y 0.249 0.249 0.249
Y 0.751 0.751 0.751
Sc 0.500 0.500 0.500
In 0.128 0.128 0.128
In 0.378 0.378 0.378
In 0.622 0.622 0.622
In 0.872 0.872 0.872

SG ... R-3m
Total moment ... 0.0 μB per cell
Crystal system ... trigonal
ΔE_f ... -0.4582 eV/atom

---

No. 4
VASP calculation (PBE) on NdSc2Zn2In2 after structural relaxation.

Cell lengths 9.049, 9.049, 9.049 Å; angles 29.89, 29.89, 29.89 degrees
Atoms (fractional coordinates):
Nd 0.000 0.000 0.000
Sc 0.136 0.136 0.136
Sc 0.864 0.864 0.864
Zn 0.442 0.442 0.442
Zn 0.558 0.558 0.558
In 0.258 0.258 0.258
In 0.742 0.742 0.742

SG ... R-3m
Total moment ... 0.5 μB per cell
Crystal system ... trigonal
ΔE_f ... -0.2883 eV/atom

---

No. 5
VASP calculation (PBE) on NdScZnIn after structural relaxation.

Cell lengths 5.149, 5.149, 5.149 Å; angles 60.00, 60.00, 60.00 degrees
Atoms (fractional coordinates):
Nd 0.000 0.000 0.000
Sc 0.500 0.500 0.500
Zn 0.250 0.250 0.250
In 0.750 0.750 0.750

SG ... F-43m
Total moment ... 0.0 μB per cell
Crystal system ... cubic
ΔE_f ... -0.3639 eV/atom

---

No. 6
VASP calculation (PBE) on NdIn3Se6 after structural relaxation.

Cell lengths 11.539, 4.114, 11.963 Å; angles 90.00, 112.20, 90.00 degrees
Atoms (fractional coordinates):
Nd 0.207 0.250 0.053
Nd 0.793 0.750 0.947
In 0.023 0.750 0.295
In 0.333 0.250 0.443
In 0.401 0.750 0.830
In 0.599 0.250 0.170
In 0.667 0.750 0.557
In 0.977 0.250 0.705
Se 0.034 0.750 0.897
Se 0.103 0.250 0.454
Se 0.237 0.250 0.799
Se 0.242 0.750 0.258
Se 0.413 0.750 0.071
Se 0.440 0.750 0.605
Se 0.560 0.250 0.395
Se 0.587 0.250 0.929
Se 0.758 0.250 0.742
Se 0.763 0.750 0.201
Se 0.897 0.750 0.546
Se 0.966 0.250 0.103

Uncorrected formation energy ... -0.82 eV per atom
SG ... P2_1/m
Total moment ... 0.0 μB per cell
Crystal system ... monoclinic

---

No. 7
VASP calculation (PBE) on Nd3In5Se12 after structural relaxation.

Cell lengths 14.446, 14.446, 14.446 Å; angles 109.47, 109.47, 109.47 degrees
Atoms (fractional coordinates):
Nd 0.125 0.250 0.375
Nd 0.125 0.375 0.750
Nd 0.250 0.375 0.125
Nd 0.250 0.875 0.625
Nd 0.375 0.125 0.250
Nd 0.375 0.750 0.125
Nd 0.625 0.250 0.875
Nd 0.625 0.875 0.750
Nd 0.750 0.125 0.375
Nd 0.750 0.625 0.875
Nd 0.875 0.625 0.250
Nd 0.875 0.750 0.625
In 0.000 0.000 0.000
In 0.000 0.000 0.500
In 0.000 0.500 0.000
In 0.000 0.500 0.500
In 0.125 0.750 0.875
In 0.125 0.875 0.250
In 0.250 0.125 0.875
In 0.250 0.625 0.375
In 0.375 0.250 0.625
In 0.375 0.625 0.750
In 0.500 0.000 0.000
In 0.500 0.000 0.500
In 0.500 0.500 0.000
In 0.500 0.500 0.500
In 0.625 0.375 0.250
In 0.625 0.750 0.375
In 0.750 0.375 0.625
In 0.750 0.875 0.125
In 0.875 0.125 0.750
In 0.875 0.250 0.125
Se 0.042 0.215 0.129
Se 0.042 0.327 0.913
Se 0.086 0.715 0.673
Se 0.086 0.871 0.413
Se 0.087 0.629 0.414
Se 0.087 0.958 0.673
Se 0.129 0.042 0.215
Se 0.129 0.587 0.914
Se 0.173 0.215 0.586
Se 0.173 0.458 0.587
Se 0.215 0.129 0.042
Se 0.215 0.586 0.173
Se 0.285 0.327 0.914
Se 0.285 0.458 0.371
Se 0.327 0.913 0.042
Se 0.327 0.914 0.285
Se 0.371 0.285 0.458
Se 0.371 0.586 0.913
Se 0.413 0.086 0.871
Se 0.413 0.827 0.542
Se 0.414 0.087 0.629
Se 0.414 0.827 0.785
Se 0.458 0.371 0.285
Se 0.458 0.587 0.173
Se 0.542 0.413 0.827
Se 0.542 0.629 0.715
Se 0.586 0.173 0.215
Se 0.586 0.913 0.371
Se 0.587 0.173 0.458
Se 0.587 0.914 0.129
Se 0.629 0.414 0.087
Se 0.629 0.715 0.542
Se 0.673 0.086 0.715
Se 0.673 0.087 0.958
Se 0.715 0.542 0.629
Se 0.715 0.673 0.086
Se 0.785 0.414 0.827
Se 0.785 0.871 0.958
Se 0.827 0.542 0.413
Se 0.827 0.785 0.414
Se 0.871 0.413 0.086
Se 0.871 0.958 0.785
Se 0.913 0.042 0.327
Se 0.913 0.371 0.586
Se 0.914 0.129 0.587
Se 0.914 0.285 0.327
Se 0.958 0.673 0.087
Se 0.958 0.785 0.871

Uncorrected formation energy ... -1.01 eV per atom
SG ... Ia-3d
Total moment ... 0.0 μB per cell
Crystal system ... cubic

---

No. 8
VASP calculation (PBE) on Nd3InSe6 after structural relaxation.

Cell lengths 9.234, 9.234, 7.072 Å; angles 90.00, 90.00, 102.51 degrees
Atoms (fractional coordinates):
Nd 0.096 0.904 0.500
Nd 0.218 0.413 0.597
Nd 0.413 0.218 0.097
Nd 0.587 0.782 0.597
Nd 0.782 0.587 0.097
Nd 0.904 0.096 0.000
In 0.298 0.702 0.126
In 0.702 0.298 0.626
Se 0.058 0.597 0.324
Se 0.130 0.194 0.297
Se 0.194 0.130 0.797
Se 0.279 0.721 0.761
Se 0.403 0.942 0.324
Se 0.466 0.534 0.287
Se 0.534 0.466 0.787
Se 0.597 0.058 0.824
Se 0.721 0.279 0.261
Se 0.806 0.870 0.297
Se 0.870 0.806 0.797
Se 0.942 0.403 0.824

Uncorrected formation energy ... -1.55 eV per atom
SG ... Cmc2_1
Total moment ... 0.0 μB per cell
Crystal system ... orthorhombic

---

No. 9
VASP calculation (PBE) on NdInSe2 after structural relaxation.

Cell lengths 8.232, 8.232, 8.232 Å; angles 30.16, 30.16, 30.16 degrees
Atoms (fractional coordinates):
Nd 0.000 0.000 0.000
In 0.171 0.171 0.171
Se 0.403 0.403 0.403
Se 0.594 0.594 0.594

Uncorrected formation energy ... -1.26 eV per atom
SG ... R3m
Total moment ... 0.0 μB per cell
Crystal system ... trigonal

---

No. 10
VASP calculation (PBE) on Nd2InSe5 after structural relaxation.

Cell lengths 7.843, 7.843, 12.983 Å; angles 90.00, 90.00, 136.48 degrees
Atoms (fractional coordinates):
Nd 0.166 0.834 0.572
Nd 0.166 0.834 0.928
Nd 0.834 0.166 0.072
Nd 0.834 0.166 0.428
In 0.175 0.825 0.250
In 0.825 0.175 0.750
Se 0.033 0.967 0.103
Se 0.033 0.967 0.397
Se 0.292 0.708 0.750
Se 0.303 0.697 0.092
Se 0.303 0.697 0.408
Se 0.697 0.303 0.592
Se 0.697 0.303 0.908
Se 0.708 0.292 0.250
Se 0.967 0.033 0.603
Se 0.967 0.033 0.897

Uncorrected formation energy ... -1.16 eV per atom
SG ... Cmcm
Total moment ... 0.0 μB per cell
Crystal system ... orthorhombic

---

No. 11
VASP calculation (PBE) on Nd6InSe4 after structural relaxation.

Cell lengths 7.379, 7.379, 21.527 Å; angles 90.00, 90.00, 146.97 degrees
Atoms (fractional coordinates):
Nd 0.000 0.000 0.000
Nd 0.000 0.000 0.500
Nd 0.162 0.838 0.750
Nd 0.272 0.728 0.084
Nd 0.272 0.728 0.416
Nd 0.454 0.546 0.662
Nd 0.454 0.546 0.838
Nd 0.546 0.454 0.162
Nd 0.546 0.454 0.338
Nd 0.728 0.272 0.584
Nd 0.728 0.272 0.916
Nd 0.838 0.162 0.250
In 0.167 0.833 0.250
In 0.833 0.167 0.750
Se 0.091 0.909 0.624
Se 0.091 0.909 0.876
Se 0.362 0.638 0.540
Se 0.362 0.638 0.960
Se 0.638 0.362 0.040
Se 0.638 0.362 0.460
Se 0.909 0.091 0.124
Se 0.909 0.091 0.376

Uncorrected formation energy ... -1.43 eV per atom
SG ... Cmcm
Total moment ... 1.2 μB per cell
Crystal system ... orthorhombic

---

No. 12
VASP calculation (PBE) on Nd2InSe4 after structural relaxation.

Cell lengths 7.268, 7.513, 8.001 Å; angles 90.00, 102.55, 90.00 degrees
Atoms (fractional coordinates):
Nd 0.177 0.250 0.040
Nd 0.196 0.250 0.537
Nd 0.804 0.750 0.463
Nd 0.823 0.750 0.960
In 0.273 0.750 0.854
In 0.727 0.250 0.146
Se 0.012 0.510 0.260
Se 0.012 0.990 0.260
Se 0.471 0.250 0.853
Se 0.490 0.250 0.349
Se 0.510 0.750 0.651
Se 0.529 0.750 0.147
Se 0.988 0.010 0.740
Se 0.988 0.490 0.740

Uncorrected formation energy ... -1.26 eV per atom
SG ... P2_1/m
Total moment ... 0.0 μB per cell
Crystal system ... monoclinic

---

No. 13
VASP calculation (PBE) on Nd3InSe2 after structural relaxation.

Cell lengths 7.648, 7.648, 7.648 Å; angles 148.09, 132.68, 58.21 degrees
Atoms (fractional coordinates):
Nd 0.000 0.000 0.000
Nd 0.322 0.322 0.000
Nd 0.678 0.678 0.000
In 0.500 0.000 0.500
Se 0.164 0.664 0.500
Se 0.836 0.336 0.500

Uncorrected formation energy ... -1.37 eV per atom
SG ... Immm
Total moment ... 0.0 μB per cell
Crystal system ... orthorhombic

---

No. 14
VASP calculation (PBE) on Nd6InSe12 after structural relaxation.

Cell lengths 8.391, 8.391, 8.391 Å; angles 97.75, 97.75, 97.75 degrees
Atoms (fractional coordinates):
Nd 0.144 0.642 0.832
Nd 0.168 0.856 0.358
Nd 0.358 0.168 0.856
Nd 0.642 0.832 0.144
Nd 0.832 0.144 0.642
Nd 0.856 0.358 0.168
In 0.500 0.500 0.500
Se 0.073 0.319 0.920
Se 0.080 0.927 0.681
Se 0.153 0.516 0.468
Se 0.319 0.920 0.073
Se 0.468 0.153 0.516
Se 0.484 0.532 0.847
Se 0.516 0.468 0.153
Se 0.532 0.847 0.484
Se 0.681 0.080 0.927
Se 0.847 0.484 0.532
Se 0.920 0.073 0.319
Se 0.927 0.681 0.080

Uncorrected formation energy ... -1.47 eV per atom
SG ... R-3
Total moment ... 0.0 μB per cell
Crystal system ... trigonal

---

No. 15
VASP calculation (PBE) on NdInSe after structural relaxation.

Cell lengths 9.284, 9.284, 9.284 Å; angles 30.15, 30.15, 30.15 degrees
Atoms (fractional coordinates):
Nd 0.093 0.093 0.093
Nd 0.907 0.907 0.907
In 0.346 0.346 0.346
In 0.654 0.654 0.654
Se 0.208 0.208 0.208
Se 0.792 0.792 0.792

Uncorrected formation energy ... -1.05 eV per atom
SG ... R-3m
Total moment ... 0.0 μB per cell
Crystal system ... trigonal

---

No. 16
VASP calculation (PBE) on Nd2SmIn3Se6 after structural relaxation.

Cell lengths 7.399, 7.399, 8.108 Å; angles 98.75, 98.75, 120.00 degrees
Atoms (fractional coordinates):
Nd 0.167 0.833 0.000
Nd 0.833 0.167 0.000
Sm 0.500 0.500 0.000
In 0.000 0.000 0.500
In 0.333 0.667 0.500
In 0.667 0.333 0.500
Se 0.098 0.428 0.786
Se 0.242 0.242 0.215
Se 0.428 0.098 0.786
Se 0.572 0.902 0.214
Se 0.758 0.758 0.785
Se 0.902 0.572 0.214

Uncorrected formation energy ... -1.29 eV per atom
SG ... C2/m
Total moment ... 0.0 μB per cell
Crystal system ... monoclinic

---

No. 17
VASP calculation (PBE) on NdInSn2Se5 after structural relaxation.

Cell lengths 9.906, 9.906, 13.520 Å; angles 90.00, 90.00, 155.78 degrees
Atoms (fractional coordinates):
Nd 0.194 0.806 0.500
Nd 0.806 0.194 0.000
In 0.458 0.542 0.913
In 0.542 0.458 0.413
Sn 0.132 0.868 0.808
Sn 0.153 0.847 0.145
Sn 0.847 0.153 0.645
Sn 0.868 0.132 0.308
Se 0.037 0.963 0.532
Se 0.296 0.704 0.158
Se 0.326 0.674 0.847
Se 0.345 0.655 0.501
Se 0.464 0.536 0.259
Se 0.536 0.464 0.759
Se 0.655 0.345 0.001
Se 0.674 0.326 0.347
Se 0.704 0.296 0.658
Se 0.963 0.037 0.032

Uncorrected formation energy ... -0.83 eV per atom
SG ... Cmc2_1
Total moment ... 0.0 μB per cell
Crystal system ... orthorhombic

---

No. 18
VASP calculation (PBE) on Sr2NdInSe4 after structural relaxation.

Cell lengths 7.464, 4.412, 7.855 Å; angles 90.00, 108.84, 90.00 degrees
Atoms (fractional coordinates):
Sr 0.000 0.000 0.000
Sr 0.000 0.500 0.500
Nd 0.500 0.000 0.500
In 0.500 0.500 0.000
Se 0.252 0.000 0.731
Se 0.261 0.500 0.266
Se 0.739 0.500 0.734
Se 0.748 0.000 0.269

Uncorrected formation energy ... -1.62 eV per atom
SG ... P2/m
Total moment ... 0.0 μB per cell
Crystal system ... monoclinic